Entry 1:
Compound: MgNi3B
Source: Alexandria via LeMat-Bulk
Functional: PBE
Structure: optimized geometry

DFT total energy = -5.395 eV per atom
distance to the lowest polymorph of the same formula = 0.000 eV/atom
D(E_F) = 6.227 states/eV per cell

The structure in CIF format:
```
data_MgNi3B
_space_group_name_H-M_alt 'P m -3 m'
_space_group_IT_number 221
_space_group_name_Hall '-P 4 2 3'
_cell_length_a 3.864
_cell_length_b 3.864
_cell_length_c 3.864
_cell_angle_alpha 90.00
_cell_angle_beta 90.00
_cell_angle_gamma 90.00
loop_
_atom_site_label
_atom_site_type_symbol
_atom_site_fract_x
_atom_site_fract_y
_atom_site_fract_z
Mg1 Mg 0.000 0.000 0.000
Ni1 Ni 0.000 0.500 0.500
B1 B 0.500 0.500 0.500
```

Entry 2:
Compound: Mg2Ni21B6
Source: Alexandria via LeMat-Bulk
Functional: PBE
Structure: optimized geometry

DFT total energy = -5.968 eV per atom
D(E_F) = 119.427 states/eV per cell

The structure in CIF format:
```
data_Mg2Ni21B6
_space_group_name_H-M_alt 'F m -3 m'
_space_group_IT_number 225
_space_group_name_Hall '-F 4 2 3'
_cell_length_a 10.529
_cell_length_b 10.529
_cell_length_c 10.529
_cell_angle_alpha 90.00
_cell_angle_beta 90.00
_cell_angle_gamma 90.00
loop_
_atom_site_label
_atom_site_type_symbol
_atom_site_fract_x
_atom_site_fract_y
_atom_site_fract_z
Mg1 Mg 0.250 0.250 0.250
Ni1 Ni 0.000 0.000 0.000
Ni2 Ni 0.000 0.169 0.169
Ni3 Ni 0.115 0.115 0.385
B1 B 0.000 0.000 0.273
```

no.,ΔH_f (0 K) (meV per atom)
1,-272
2,-290